# Dy12FeSb6 (PBE-GGA, relaxed)
# * formation energy without anion corrections: -599 meV/atom
# * DFT total energy: -0.3861 Ry/atom
# * total magnetic moment: 0.0 μB per cell
data_Dy12FeSb6
_chemical_formula_sum 'Dy36 Fe3 Sb18'
_cell_length_a 12.9634
_cell_length_b 12.9634
_cell_length_c 12.0389
_cell_angle_alpha 90.00
_cell_angle_beta 90.00
_cell_angle_gamma 120.00
_symmetry_space_group_name_H-M 'R -3'
_symmetry_Int_Tables_number 148
_symmetry_space_group_name_Hall '-R 3'
loop_
_atom_site_label
_atom_site_fract_x
_atom_site_fract_y
_atom_site_fract_z
Dy1 0.0294 0.8389 0.3875
Dy2 0.0629 0.8749 0.8816
Fe1 0.0000 0.0000 0.0000
Sb1 0.0454 0.7596 0.6401